VASP calculation (GGA-PBE) on a relaxed structure of Ac2CdSn4Ir3.

Lattice parameters (Å, degrees): 4.647 4.647 11.153 90.00 90.00 90.00
Atoms (fractional coordinates):
1 Ir 0.000 0.500 0.125
2 Sn 0.000 0.000 0.000
3 Sn 0.500 0.500 0.000
4 Sn 0.500 0.000 0.640
5 Ac 0.000 0.500 0.757
6 Ac 0.500 0.000 0.243
7 Cd 0.500 0.500 0.500
8 Ir 0.000 0.000 0.500
9 Ir 0.500 0.000 0.875
10 Sn 0.000 0.500 0.360

Computed properties:
Energy of formation, eV/atom: -0.521
Density of states at the Fermi level, states/eV per atom: 0.664
M_tot, Bohr magnetons per cell: 0.0